No. 1
Li2PuBi2O6: optimized geometry, PBE-GGA.

abc: 5.5452 5.5452 7.2028
angles: 90.00 90.00 120.00
With the nearest neighbours (Å) after each atom.
Sites, in units of the cell vectors:
1 Li 0.3333 0.6667 0.3791  3 O 1.95
2 Li 0.6667 0.3333 0.6209  3 O 1.95
3 Pu 0.0000 0.0000 0.5000  6 O 2.23
4 Bi 0.3333 0.6667 0.8272  3 O 2.10
5 Bi 0.6667 0.3333 0.1728  3 O 2.10
6 O 0.0138 0.3379 0.6757  1 Li 1.95, 1 Bi 2.10
7 O 0.3241 0.9862 0.6757  1 Li 1.95, 1 Bi 2.10
8 O 0.3379 0.3241 0.3243  1 Li 1.95, 1 Bi 2.10
9 O 0.6621 0.6759 0.6757  1 Li 1.95, 1 Bi 2.10
10 O 0.6759 0.0138 0.3243  1 Li 1.95, 1 Bi 2.10
11 O 0.9862 0.6621 0.3243  1 Li 1.95, 1 Bi 2.10

Calculated values
Formation energy (no corrections) in eV per formula unit: -20.43
SG: P-3, No. 147
Magnetization in μB per cell: 4.00

No. 2
TbPr4Sm2: optimized geometry, PBE-GGA.

abc: 20.9990 20.9990 20.9990
angles: 10.03 10.03 10.03
With the nearest neighbours (Å) after each atom.
Sites, in units of the cell vectors:
1 Tb 0.0000 0.0000 0.0000  6 Pr 3.63, 6 Tb 3.67
2 Pr 0.1423 0.1423 0.1423  3 Sm 3.66, 9 Pr 3.67-3.72
3 Pr 0.2864 0.2864 0.2864  3 Tb 3.63, 3 Sm 3.66, 6 Pr 3.67
4 Pr 0.7136 0.7136 0.7136  3 Tb 3.63, 3 Sm 3.66, 6 Pr 3.67
5 Pr 0.8577 0.8577 0.8577  3 Sm 3.66, 9 Pr 3.67-3.72
6 Sm 0.4280 0.4280 0.4280  6 Pr 3.66, 6 Sm 3.67
7 Sm 0.5720 0.5720 0.5720  6 Pr 3.66, 6 Sm 3.67

Calculated values
SG: R-3m, No. 166
Formation energy in meV/atom: 9
Magnetization in μB per cell: 0.00
E above lowest polymorph in meV per atom: 0

No. 3
Te2Mo2Se: optimized geometry, PBE-GGA.

abc: 8.0388 8.0388 3.2548
angles: 90.00 90.00 90.00
With the nearest neighbours (Å) after each atom.
Sites, in units of the cell vectors:
1 Te 0.1428 0.3572 0.0000  6 Mo 2.82-2.92, 2 Se 3.09
2 Te 0.3572 0.8572 0.0000  6 Mo 2.82-2.92, 2 Se 3.09
3 Te 0.6428 0.1428 0.0000  6 Mo 2.82-2.92, 2 Se 3.09
4 Te 0.8572 0.6428 0.0000  6 Mo 2.82-2.92, 2 Se 3.09
5 Mo 0.1438 0.6438 0.5000  6 Te 2.82-2.92
6 Mo 0.3562 0.1438 0.5000  6 Te 2.82-2.92
7 Mo 0.6438 0.8562 0.5000  6 Te 2.82-2.92
8 Mo 0.8562 0.3562 0.5000  6 Te 2.82-2.92
9 Se 0.0000 0.0000 0.0000  4 Te 3.09, 2 Se 3.25
10 Se 0.5000 0.5000 0.0000  4 Te 3.09, 2 Se 3.25

Calculated values
Formation energy (no corrections) in eV per formula unit: 3.44
SG: P4/mbm, No. 127
Magnetization in μB per cell: 4.28
E above lowest polymorph in meV per atom: 489

No. 4
CsNa2Se: optimized geometry, PBE-GGA.

abc: 9.2550 9.2550 9.2550
angles: 30.37 30.37 30.37
With the nearest neighbours (Å) after each atom.
Sites, in units of the cell vectors:
1 Cs 0.0000 0.0000 0.0000  6 Na 4.49, 6 Cs 4.85
2 Na 0.2006 0.2006 0.2006  3 Se 2.94
3 Na 0.7994 0.7994 0.7994  3 Se 2.94
4 Se 0.5000 0.5000 0.5000  6 Na 2.94

Calculated values
Formation energy (no corrections) in eV per formula unit: -2.55
SG: R-3m, No. 166
Magnetization in μB per cell: 0.00

No. 5
ZrMnCd2Au: optimized geometry, PBE-GGA.

abc: 5.0874 5.0874 4.9766
angles: 90.00 90.00 90.00
With the nearest neighbours (Å) after each atom.
Sites, in units of the cell vectors:
1 Zr 0.0000 0.0000 0.0000  8 Cd 3.56, 4 Mn 3.60
2 Mn 0.5000 0.5000 0.0000  2 Au 2.49
3 Cd 0.0000 0.5000 0.5000  2 Au 2.54
4 Cd 0.5000 0.0000 0.5000  2 Au 2.54
5 Au 0.5000 0.5000 0.5000  2 Mn 2.49, 4 Cd 2.54

Calculated values
SG: P4/mmm, No. 123
Formation energy in meV/atom: 699
Magnetization in μB per cell: 2.60

No. 6
FeBiTe2: optimized geometry, PBE-GGA.

abc: 7.7238 7.7238 7.7238
angles: 128.32 128.32 76.11
With the nearest neighbours (Å) after each atom.
Sites, in units of the cell vectors:
1 Fe 0.0000 0.0000 0.0000  4 Te 2.58
2 Fe 0.7500 0.2500 0.5000  4 Te 2.58
3 Bi 0.2500 0.7500 0.5000  4 Te 3.11
4 Bi 0.5000 0.5000 0.0000  4 Te 3.11
5 Te 0.0580 0.6250 0.9330  2 Fe 2.58
6 Te 0.3750 0.3080 0.4330  2 Fe 2.58
7 Te 0.6920 0.1250 0.0670  2 Fe 2.58
8 Te 0.8750 0.9420 0.5670  2 Fe 2.58

Calculated values
Formation energy (no corrections) in eV per formula unit: 0.74
SG: I-42d, No. 122
Magnetization in μB per cell: 5.98

No. 7
LaGa2NiAu: optimized geometry, PBE-GGA.

abc: 4.5638 4.5638 5.0253
angles: 90.00 90.00 90.00
With the nearest neighbours (Å) after each atom.
Sites, in units of the cell vectors:
1 La 0.0000 0.0000 0.0000  4 Au 3.23, 8 Ga 3.39
2 Ga 0.0000 0.5000 0.5000  2 Ni 2.28
3 Ga 0.5000 0.0000 0.5000  2 Ni 2.28
4 Ni 0.5000 0.5000 0.5000  4 Ga 2.28, 2 Au 2.51
5 Au 0.5000 0.5000 0.0000  2 Ni 2.51

Calculated values
SG: P4/mmm, No. 123
Formation energy in meV/atom: -456
Magnetization in μB per cell: 0.00

No. 8
PaIr4Au: optimized geometry, PBE-GGA.

abc: 5.2942 5.2942 5.2942
angles: 60.00 60.00 60.00
With the nearest neighbours (Å) after each atom.
Sites, in units of the cell vectors:
1 Pa 0.0000 0.0000 0.0000  12 Ir 3.11, 4 Au 3.24
2 Ir 0.3754 0.3754 0.3754  6 Ir 2.64-2.66
3 Ir 0.3754 0.3754 0.8737  6 Ir 2.64-2.66
4 Ir 0.3754 0.8737 0.3754  6 Ir 2.64-2.66
5 Ir 0.8737 0.3754 0.3754  6 Ir 2.64-2.66
6 Au 0.7500 0.7500 0.7500  12 Ir 3.10, 4 Pa 3.24

Calculated values
SG: F-43m, No. 216
Formation energy in meV/atom: -387
Magnetization in μB per cell: 0.00

No. 9
MnAg2OsC: optimized geometry, PBE-GGA.

abc: 5.1660 5.1660 3.7967
angles: 90.00 90.00 90.00
With the nearest neighbours (Å) after each atom.
Sites, in units of the cell vectors:
1 Mn 0.0000 0.0000 0.0000  8 Ag 3.21
2 Ag 0.0000 0.5000 0.5000  2 Os 2.58
3 Ag 0.5000 0.0000 0.5000  2 Os 2.58
4 Os 0.5000 0.5000 0.5000  2 C 1.90
5 C 0.5000 0.5000 0.0000  2 Os 1.90

Calculated values
SG: P4/mmm, No. 123
Formation energy in meV/atom: 1339
Magnetization in μB per cell: 5.07

No. 10
BaSrY2Ni: optimized geometry, PBE-GGA.

abc: 5.4560 5.4560 6.1142
angles: 90.00 90.00 90.00
With the nearest neighbours (Å) after each atom.
Sites, in units of the cell vectors:
1 Ba 0.0000 0.0000 0.0000  4 Sr 3.86, 8 Y 4.10
2 Sr 0.5000 0.5000 0.0000  2 Ni 3.06
3 Y 0.0000 0.5000 0.5000  2 Ni 2.73
4 Y 0.5000 0.0000 0.5000  2 Ni 2.73
5 Ni 0.5000 0.5000 0.5000  4 Y 2.73

Calculated values
SG: P4/mmm, No. 123
Formation energy in meV/atom: 6
Magnetization in μB per cell: 0.00

No. 11
ZrFeTe2: optimized geometry, PBE-GGA.

abc: 7.8274 7.8274 7.8274
angles: 30.32 30.32 30.32
With the nearest neighbours (Å) after each atom.
Sites, in units of the cell vectors:
1 Zr 0.0000 0.0000 0.0000  3 Fe 2.79, 3 Te 2.95
2 Fe 0.7332 0.7332 0.7332  3 Te 2.48
3 Te 0.2545 0.2545 0.2545  3 Zr 2.95
4 Te 0.4337 0.4337 0.4337  3 Fe 2.48

Calculated values
Formation energy (no corrections) in eV per formula unit: -1.18
SG: R3m, No. 160
Magnetization in μB per cell: 1.59

No. 12
La2Ta2Al: optimized geometry, PBE-GGA.

abc: 8.0707 8.0707 8.0707
angles: 150.66 150.66 41.97
With the nearest neighbours (Å) after each atom.
Sites, in units of the cell vectors:
1 La 0.2500 0.7500 0.5000  4 La 2.89
2 La 0.7500 0.2500 0.5000  4 La 2.89
3 Ta 0.0770 0.0770 0.0000  1 Ta 2.32
4 Ta 0.9230 0.9230 0.0000  1 Ta 2.32
5 Al 0.5000 0.5000 0.0000  8 Ta 3.11

Calculated values
SG: I4/mmm, No. 139
Formation energy in meV/atom: 1014
Magnetization in μB per cell: 0.00
E above lowest polymorph in meV per atom: 753

No. 13
NbInSb2I: optimized geometry, PBE-GGA.

abc: 5.4979 5.4979 5.8252
angles: 90.00 90.00 90.00
With the nearest neighbours (Å) after each atom.
Sites, in units of the cell vectors:
1 Nb 0.0000 0.0000 0.0000  4 I 3.89, 8 Sb 4.00
2 In 0.5000 0.5000 0.5000  4 Sb 2.75, 2 I 2.91
3 Sb 0.0000 0.5000 0.5000  2 In 2.75
4 Sb 0.5000 0.0000 0.5000  2 In 2.75
5 I 0.5000 0.5000 0.0000  2 In 2.91

Calculated values
Formation energy (no corrections) in eV per formula unit: 6.03
SG: P4/mmm, No. 123
Magnetization in μB per cell: 2.72
E above lowest polymorph in meV per atom: 974

No. 14
DyPuCl2: optimized geometry, PBE-GGA.

abc: 23.9877 23.9877 23.9877
angles: 8.72 8.72 8.72
With the nearest neighbours (Å) after each atom.
Sites, in units of the cell vectors:
1 Dy 0.0000 0.0000 0.0000  6 Dy 3.65
2 Pu 0.5000 0.5000 0.5000  6 Cl 2.79
3 Cl 0.1411 0.1411 0.1411  3 Pu 2.79
4 Cl 0.8589 0.8589 0.8589  3 Pu 2.79

Calculated values
Formation energy (no corrections) in eV per formula unit: -3.54
SG: R-3m, No. 166
Magnetization in μB per cell: 4.93

No. 15
La3Sm7: optimized geometry, PBE-GGA.

abc: 9.7099 9.7099 7.3126
angles: 101.14 101.14 30.99
With the nearest neighbours (Å) after each atom.
Sites, in units of the cell vectors:
1 La 0.0000 0.0000 0.0000  12 Sm 3.66-3.67
2 La 0.1989 0.1989 0.5999  10 Sm 3.65-3.70, 2 La 3.69
3 La 0.8011 0.8011 0.4001  10 Sm 3.65-3.70, 2 La 3.69
4 Sm 0.0000 0.0000 0.5000  4 La 3.65-3.66, 8 Sm 3.66-3.67
5 Sm 0.2000 0.2000 0.1005  7 Sm 3.65-3.68, 5 La 3.66-3.67
6 Sm 0.3997 0.3997 0.1984  8 Sm 3.65-3.67, 4 La 3.66-3.67
7 Sm 0.4006 0.4006 0.6998  7 Sm 3.65-3.68, 5 La 3.66-3.70
8 Sm 0.5994 0.5994 0.3002  7 Sm 3.65-3.68, 5 La 3.66-3.70
9 Sm 0.6003 0.6003 0.8016  8 Sm 3.65-3.67, 4 La 3.66-3.67
10 Sm 0.8000 0.8000 0.8995  7 Sm 3.65-3.68, 5 La 3.66-3.67

Calculated values
SG: C2/m, No. 12
Formation energy in meV/atom: 19
Magnetization in μB per cell: 0.00
E above lowest polymorph in meV per atom: 0

No. 16
TbMgGaSn: optimized geometry, PBE-GGA.

abc: 5.1174 5.1174 5.1174
angles: 60.00 60.00 60.00
With the nearest neighbours (Å) after each atom.
Sites, in units of the cell vectors:
1 Tb 0.0000 0.0000 0.0000  4 Sn 3.13, 4 Ga 3.13
2 Mg 0.5000 0.5000 0.5000  4 Sn 3.13, 4 Ga 3.13
3 Ga 0.7500 0.7500 0.7500  4 Tb 3.13, 4 Mg 3.13
4 Sn 0.2500 0.2500 0.2500  4 Tb 3.13, 4 Mg 3.13

Calculated values
SG: F-43m, No. 216
Formation energy in meV/atom: -316
Magnetization in μB per cell: 0.00
E above lowest polymorph in meV per atom: 173

No. 17
Na2HfPaAs4: optimized geometry, PBE-GGA.

abc: 7.0331 4.1245 7.3079
angles: 90.00 109.41 90.00
With the nearest neighbours (Å) after each atom.
Sites, in units of the cell vectors:
1 Na 0.0000 0.0000 0.0000  6 As 3.03-3.04
2 Na 0.5000 0.5000 0.0000  6 As 3.12-3.13
3 Hf 0.0000 0.5000 0.5000  6 As 2.73-2.75
4 Pa 0.5000 0.0000 0.5000  6 As 2.83
5 As 0.2269 0.0000 0.7110  2 Hf 2.75, 1 Pa 2.83, 1 Na 3.04
6 As 0.2494 0.5000 0.2826  1 Hf 2.73, 2 Pa 2.83, 2 Na 3.03
7 As 0.7506 0.5000 0.7174  1 Hf 2.73, 2 Pa 2.83, 2 Na 3.03
8 As 0.7731 0.0000 0.2890  2 Hf 2.75, 1 Pa 2.83, 1 Na 3.04

Calculated values
SG: P2/m, No. 10
Formation energy in meV/atom: -683
Magnetization in μB per cell: 0.00

No. 18
PrGa2Co2Si: optimized geometry, PBE-GGA.

abc: 4.2663 4.2663 5.6942
angles: 90.00 90.00 90.00
With the nearest neighbours (Å) after each atom.
Sites, in units of the cell vectors:
1 Pr 0.0000 0.0000 0.0000  2 Si 2.85
2 Ga 0.5000 0.5000 0.2446  4 Co 2.58, 1 Ga 2.79
3 Ga 0.5000 0.5000 0.7554  4 Co 2.58, 1 Ga 2.79
4 Co 0.0000 0.5000 0.5000  2 Si 2.13
5 Co 0.5000 0.0000 0.5000  2 Si 2.13
6 Si 0.0000 0.0000 0.5000  4 Co 2.13

Calculated values
Formation energy (no corrections) in eV per formula unit: -2.15
SG: P4/mmm, No. 123
Magnetization in μB per cell: 1.25

No. 19
Co2NiAs: optimized geometry, PBE-GGA.

abc: 7.7729 7.7729 7.7729
angles: 20.11 20.11 20.11
With the nearest neighbours (Å) after each atom.
Sites, in units of the cell vectors:
1 Co 0.2480 0.2480 0.2480  3 As 2.43, 3 Ni 2.50, 6 Co 2.71
2 Co 0.7520 0.7520 0.7520  3 As 2.43, 3 Ni 2.50, 6 Co 2.71
3 Ni 0.0000 0.0000 0.0000  6 Co 2.50, 6 Ni 2.71
4 As 0.5000 0.5000 0.5000  6 Co 2.43, 6 As 2.71

Calculated values
SG: R-3m, No. 166
Formation energy in meV/atom: 218
Magnetization in μB per cell: 2.57

No. 20
Pu3Th2N8: optimized geometry, PBE-GGA.

abc: 6.4680 3.7787 8.9596
angles: 90.00 109.78 90.00
With the nearest neighbours (Å) after each atom.
Sites, in units of the cell vectors:
1 Pu 0.0000 0.0000 0.0000  2 N 1.94
2 Pu 0.2515 0.5000 0.3373  5 N 2.14-2.32
3 Pu 0.7485 0.5000 0.6627  5 N 2.14-2.32
4 Th 0.2549 0.0000 0.6974  4 N 2.35-2.39
5 Th 0.7451 0.0000 0.3026  4 N 2.35-2.39
6 N 0.0748 0.5000 0.8298  1 Pu 2.14
7 N 0.1369 0.0000 0.4159  2 Pu 2.23, 2 Th 2.38-2.39
8 N 0.2911 0.0000 0.1598  1 Pu 1.94
9 N 0.4011 0.5000 0.6119  2 Pu 2.14-2.32, 2 Th 2.35
10 N 0.5989 0.5000 0.3881  2 Pu 2.14-2.32, 2 Th 2.35
11 N 0.7089 0.0000 0.8402  1 Pu 1.94
12 N 0.8631 0.0000 0.5841  2 Pu 2.23, 2 Th 2.38-2.39
13 N 0.9252 0.5000 0.1702  1 Pu 2.14

Calculated values
Formation energy (no corrections) in eV per formula unit: -13.72
SG: P2/m, No. 10
Magnetization in μB per cell: 2.47